(1)
Computed, not measured: a relaxed structure of P3Br at the PBE level of DFT.

Lattice parameters (Å, degrees): 3.472 4.584 5.957 58.71 90.00 90.00
Fractional coordinates of all 4 atoms:
Br  0.000  0.000  0.000
P  0.500  0.737  0.641
P  0.000  0.500  0.500
P  0.500  0.263  0.359

Results
DOS at the Fermi energy: 0.416 states/eV per atom
Magnetization: 0.0 μB/cell
Energy relative to the elements, uncorrected: 0.246 eV per atom
Relative energy among the computed polymorphs: 0.00 eV per formula unit
SG: P2/m, No. 10

(2)
Computed, not measured: a relaxed structure of PBr3 at the PBE level of DFT.

Lattice parameters (Å, degrees): 4.045 3.324 8.961 90.00 90.00 90.00
Last column: magnetic moment on the atom in μB.
Fractional coordinates of all 4 atoms:
P  0.000  0.500  0.300  0.00
Br  0.500  0.500  0.834  0.11
Br  0.500  0.000  0.431  0.00
Br  0.000  0.000  0.102  0.00

Results
DOS at the Fermi energy: 0.579 states/eV per atom
Magnetization: 0.2 μB/cell
Energy relative to the elements, uncorrected: 0.320 eV per atom
SG: Pmm2, No. 25

(3)
Computed, not measured: a relaxed structure of P8Br at the PBE level of DFT.

Lattice parameters (Å, degrees): 6.806 6.806 6.806 95.44 95.44 144.14
Fractional coordinates of all 9 atoms:
P  0.212  0.212  0.423
P  0.212  0.788  0.000
P  0.000  0.374  0.374
P  0.788  0.212  0.000
P  0.626  0.000  0.626
P  0.000  0.626  0.626
P  0.788  0.788  0.577
P  0.374  0.000  0.374
Br  0.000  0.000  0.000

Results
DOS at the Fermi energy: 0.318 states/eV per atom
Magnetization: 0.0 μB/cell
Energy relative to the elements, uncorrected: 0.455 eV per atom
SG: I4/mmm, No. 139

(4)
Computed, not measured: a relaxed structure of P4Br3 at the PBE level of DFT.

Lattice parameters (Å, degrees): 7.208 7.208 3.940 90.00 90.00 120.00
Fractional coordinates of all 7 atoms:
Br  0.500  0.500  0.000
Br  0.000  0.500  0.000
Br  0.500  0.000  0.000
P  0.000  0.000  0.750
P  0.333  0.667  0.500
P  0.000  0.000  0.250
P  0.667  0.333  0.500

Results
DOS at the Fermi energy: 0.454 states/eV per atom
Magnetization: 0.0 μB/cell
Energy relative to the elements, uncorrected: 0.799 eV per atom
SG: P6/mmm, No. 191

Question: Look up the DOS at the Fermi energy of the second one.
Answer: 0.579 states/eV per atom

Question: energy relative to the elements, uncorrected of number 3 (P8Br)?
Answer: 0.455 eV per atom